Computed, not measured: a geometry-optimized La2Nd5Sm5 structure at the GGA-PBE level of DFT.

Unit cell a=5.190 b=11.018 c=8.227 alpha=98.61 beta=71.61 gamma=76.38
Atoms (fractional coordinates):
Nd 0.331 0.753 0.585
Nd 0.669 0.247 0.415
Nd 0.002 0.248 0.749
Nd 0.000 0.000 0.000
Nd 0.998 0.752 0.251
Sm 0.334 0.999 0.333
Sm 0.666 0.752 0.916
Sm 0.666 0.001 0.667
Sm 0.334 0.248 0.084
Sm 0.000 0.500 0.500
La 0.334 0.500 0.831
La 0.666 0.500 0.169

Values from the calculation:
Space group ... C2/m, No. 12
Volume ... 420.83 Å³/cell
Final energy ... -57.092 eV for the cell shown
Calculated formation energy ... 0.0165 eV per atom

Computed, not measured: a geometry-optimized GaNi2Ge2 structure at the GGA-PBE level of DFT.

Unit cell a=7.472 b=7.472 c=2.625 alpha=90.00 beta=90.00 gamma=90.00
Atoms (fractional coordinates):
Ge 0.362 0.862 0.000
Ge 0.862 0.638 0.000
Ge 0.638 0.138 0.000
Ge 0.138 0.362 0.000
Ni 0.843 0.343 0.500
Ni 0.157 0.657 0.500
Ni 0.343 0.157 0.500
Ni 0.657 0.843 0.500
Ga 0.500 0.500 0.000
Ga 0.000 0.000 0.000

Values from the calculation:
Space group ... P4/mbm, No. 127
Relative energy among the computed polymorphs ... 0.1953 eV/atom
Volume ... 146.54 Å³/cell
Final energy ... -47.888 eV for the cell shown
Calculated formation energy ... -0.0240 eV per atom

Computed, not measured: a geometry-optimized Th2Co5Ge structure at the GGA-PBE level of DFT.

Unit cell a=5.710 b=5.710 c=5.710 alpha=89.72 beta=120.16 gamma=120.16
Atoms (fractional coordinates):
Ge 0.000 0.968 0.968
Co 0.431 0.714 0.714
Co 0.000 0.714 0.283
Co 0.569 0.283 0.283
Co 0.000 0.283 0.714
Co 0.000 0.266 0.266
Th 0.500 0.246 0.746
Th 0.500 0.746 0.246

Values from the calculation:
Space group ... I4mm, No. 107
Volume ... 131.28 Å³/cell
Final energy ... -56.825 eV for the cell shown
Calculated formation energy ... -0.2298 eV per atom